1.
Compound: Sr2CaS2Br2
Source: Alexandria
Functional: GGA-PBE
Structure: optimized geometry

ΔE_f (raw) in eV per atom: -1.966
Theoretical density in g/cm3: 3.35
Symmetry: I4/mmm
Volume in Å³ per cell: 217

abc: 5.2719 5.2719 8.6655
angles: 107.71 107.71 90.00
Last column: nearest neighbours and their distance in Å.
Fractional positions:
Br 0.1922 0.1922 0.3843  1 Ca 3.01, 1 Sr 3.03
Br 0.8078 0.8078 0.6157  1 Ca 3.01, 1 Sr 3.03
Sr 0.3859 0.3859 0.7717  1 Br 3.03, 4 S 3.18
Sr 0.6141 0.6141 0.2283  1 Br 3.03, 4 S 3.18
S 0.0000 0.5000 0.0000  2 Ca 2.64
S 0.5000 0.0000 0.0000  2 Ca 2.64
Ca 0.0000 0.0000 0.0000  4 S 2.64

***

2.
Compound: CaTcS2Br
Source: Alexandria
Functional: GGA-PBE
Structure: optimized geometry

ΔE_f (raw) in eV per atom: 0.660
Theoretical density in g/cm3: 3.67
Symmetry: P4/mmm
Volume in Å³ per cell: 128

abc: 5.2609 4.6073 5.2609
angles: 90.00 90.00 90.00
Last column: nearest neighbours and their distance in Å.
Fractional positions:
Tc 0.0000 0.5000 0.0000  2 Br 2.30
Ca 0.5000 0.5000 0.5000  8 S 3.50, 4 Tc 3.72
S 0.0000 0.0000 0.5000  2 Br 2.63
S 0.5000 0.0000 0.0000  2 Br 2.63
Br 0.0000 0.0000 0.0000  2 Tc 2.30

***

3.
Compound: CaTlSBr
Source: Alexandria
Functional: GGA-PBE
Structure: optimized geometry

ΔE_f (raw) in eV per atom: -1.455
Theoretical density in g/cm3: 4.82
Symmetry: R3m
Volume in Å³ per cell: 123

abc: 4.1759 4.1759 8.4755
angles: 90.01 104.24 119.99
Last column: nearest neighbours and their distance in Å.
Fractional positions:
S 0.3291 0.5625 0.9066  3 Ca 2.82, 3 Tl 3.05
Br 0.9253 0.3607 0.3014  3 Ca 2.98
Tl 0.5087 0.1521 0.6762  3 S 3.05
Ca 0.1148 0.9555 0.0855  3 S 2.82, 3 Br 2.98

***

4.
Compound: CaYSBr2
Source: Alexandria
Functional: GGA-PBE
Structure: optimized geometry

ΔE_f (raw) in eV per atom: -0.185
Theoretical density in g/cm3: 3.02
Symmetry: P4/mmm
Volume in Å³ per cell: 176

abc: 5.9432 4.9879 5.9432
angles: 90.00 90.00 90.00
Last column: nearest neighbours and their distance in Å.
Fractional positions:
S 0.0000 0.0000 0.0000  2 Ca 2.49
Y 0.5000 0.5000 0.5000  8 Br 3.88, 4 Ca 4.20
Br 0.0000 0.0000 0.5000  2 S 2.97
Br 0.5000 0.0000 0.0000  2 S 2.97
Ca 0.0000 0.5000 0.0000  2 S 2.49

***

5.
Compound: CaZn2SBr
Source: Alexandria
Functional: GGA-PBE
Structure: optimized geometry

ΔE_f (raw) in eV per atom: 0.078
Theoretical density in g/cm3: 2.42
Symmetry: P4/mmm
Volume in Å³ per cell: 194

abc: 6.1672 5.0928 6.1672
angles: 90.00 90.00 90.00
Last column: nearest neighbours and their distance in Å.
Fractional positions:
Zn 0.5000 0.0000 0.0000  2 Ca 3.08
Zn 0.0000 0.0000 0.5000  2 Ca 3.08
Br 0.5000 0.5000 0.5000  8 Zn 4.00, 4 S 4.36
S 0.0000 0.5000 0.0000  2 Ca 2.55
Ca 0.0000 0.0000 0.0000  2 S 2.55

***

6.
Compound: CaSb3Br
Source: Alexandria
Functional: GGA-PBE
Structure: optimized geometry

ΔE_f (raw) in eV per atom: 0.342
Energy relative to the lowest polymorph listed for this composition in eV per atom: 0.0000
Theoretical density in g/cm3: 4.76
Symmetry: Pm-3m
Volume in Å³ per cell: 169

abc: 5.5337 5.5337 5.5337
angles: 90.00 90.00 90.00
Last column: nearest neighbours and their distance in Å.
Fractional positions:
Sb 0.0000 0.0000 0.5000  2 Br 2.77
Sb 0.5000 0.0000 0.0000  2 Br 2.77
Sb 0.0000 0.5000 0.0000  2 Br 2.77
Ca 0.5000 0.5000 0.5000  12 Sb 3.91
Br 0.0000 0.0000 0.0000  6 Sb 2.77

***

7.
Compound: CaSbBr2
Source: Alexandria
Functional: GGA-PBE
Structure: optimized geometry

ΔE_f (raw) in eV per atom: -0.868
Energy relative to the lowest polymorph listed for this composition in eV per atom: 0.1729
Theoretical density in g/cm3: 4.68
Symmetry: Imm2
Volume in Å³ per cell: 114

abc: 6.9500 6.9500 6.9500
angles: 149.66 137.43 53.17
Last column: nearest neighbours and their distance in Å.
Fractional positions:
Sb 0.2791 0.7791 0.5000  4 Br 3.21, 2 Ca 3.48
Ca 0.5178 0.5178 0.0000  6 Br 3.04-3.13
Br 0.9890 0.9890 0.0000  4 Ca 3.13
Br 0.7140 0.2140 0.5000  2 Ca 3.04, 4 Sb 3.21

***

8.
Compound: Ca2SbBr
Source: Alexandria
Functional: GGA-PBE
Structure: optimized geometry

ΔE_f (raw) in eV per atom: -1.380
Theoretical density in g/cm3: 3.47
Symmetry: Pmn2_1
Volume in Å³ per cell: 269

abc: 6.0621 4.6155 9.6264
angles: 90.00 90.00 90.00
Last column: nearest neighbours and their distance in Å.
Fractional positions:
Sb 0.7010 0.2336 0.4586  6 Ca 3.08-3.14
Sb 0.2011 0.7336 0.7574  6 Ca 3.08-3.14
Ca 0.2010 0.2337 0.5368  4 Sb 3.12-3.14
Ca 0.7010 0.7335 0.2467  4 Br 3.07-3.16, 2 Sb 3.08
Ca 0.7010 0.7338 0.6792  4 Sb 3.12-3.14
Ca 0.2009 0.2335 0.9693  4 Br 3.07-3.16, 2 Sb 3.08
Br 0.7009 0.2325 0.0231  4 Ca 3.07-3.16
Br 0.2009 0.7326 0.1927  4 Ca 3.07-3.16

***

9.
Compound: Ca2SbBr
Source: Alexandria
Functional: GGA-PBE
Structure: optimized geometry

ΔE_f (raw) in eV per atom: -1.389
Theoretical density in g/cm3: 3.64
Symmetry: C2/c
Volume in Å³ per cell: 515

abc: 7.8612 7.8766 9.9571
angles: 104.68 104.62 111.09
Last column: nearest neighbours and their distance in Å.
Fractional positions:
Sb 0.0678 0.8178 0.1357  6 Ca 3.09-3.11
Sb 0.9322 0.1822 0.8643  6 Ca 3.09-3.11
Sb 0.8076 0.5576 0.6152  6 Ca 3.08-3.10
Sb 0.1924 0.4424 0.3848  6 Ca 3.08-3.10
Ca 0.2822 0.5560 0.1256  3 Sb 3.10-3.11, 3 Br 3.18-3.41
Ca 0.9515 0.6767 0.3769  3 Sb 3.08-3.09, 3 Br 3.23-3.41
Ca 0.1566 0.9304 0.8744  3 Sb 3.10-3.11, 3 Br 3.18-3.41
Ca 0.5747 0.7999 0.6231  3 Sb 3.08-3.09, 3 Br 3.23-3.41
Ca 0.7178 0.4440 0.8744  3 Sb 3.10-3.11, 3 Br 3.18-3.41
Ca 0.0485 0.3233 0.6231  3 Sb 3.08-3.09, 3 Br 3.23-3.41
Ca 0.4253 0.2001 0.3769  3 Sb 3.08-3.09, 3 Br 3.23-3.41
Ca 0.8434 0.0696 0.1256  3 Sb 3.10-3.11, 3 Br 3.18-3.41
Br 0.6804 0.9304 0.3608  6 Ca 3.18-3.41
Br 0.5550 0.3050 0.1100  6 Ca 3.19-3.41
Br 0.4450 0.6950 0.8900  6 Ca 3.19-3.41
Br 0.3196 0.0696 0.6392  6 Ca 3.18-3.41

***

10.
Compound: Ca2SbBr
Source: Alexandria
Functional: GGA-PBE
Structure: optimized geometry

ΔE_f (raw) in eV per atom: -1.352
Theoretical density in g/cm3: 3.75
Symmetry: Pmm2
Volume in Å³ per cell: 125

abc: 6.1421 4.5088 4.5106
angles: 90.01 90.00 90.00
Last column: nearest neighbours and their distance in Å.
Fractional positions:
Sb 0.0000 0.3755 0.3749  6 Ca 3.07-3.19
Br 0.5000 0.8746 0.8751  6 Ca 3.07-3.19
Ca 0.5000 0.3744 0.3750  2 Sb 3.07, 4 Br 3.19
Ca 0.0000 0.8755 0.8749  2 Br 3.07, 4 Sb 3.19

***

11.
Compound: Ca2SbBr
Source: Alexandria
Functional: GGA-PBE
Structure: optimized geometry

ΔE_f (raw) in eV per atom: -0.798
Theoretical density in g/cm3: 3.44
Symmetry: P4mm
Volume in Å³ per cell: 136

abc: 3.6882 3.6882 9.9943
angles: 90.00 90.00 90.00
Last column: nearest neighbours and their distance in Å.
Fractional positions:
Ca 0.5000 0.5000 0.2830  4 Sb 3.25
Ca 0.0000 0.0000 0.9391  4 Br 2.95
Br 0.5000 0.5000 0.8004  4 Ca 2.95
Sb 0.0000 0.0000 0.4775  4 Ca 3.25

***

12.
Compound: Ca6SbBr8
Source: Alexandria
Functional: GGA-PBE
Structure: optimized geometry

ΔE_f (raw) in eV per atom: -1.747
Theoretical density in g/cm3: 3.22
Symmetry: R-3
Volume in Å³ per cell: 516

abc: 7.5426 7.5426 11.3371
angles: 70.57 70.57 60.00
Last column: nearest neighbours and their distance in Å.
Fractional positions:
Ca 0.2586 0.9403 0.1787  5 Br 2.92-3.18, 1 Sb 3.04
Ca 0.0597 0.3776 0.8213  5 Br 2.92-3.18, 1 Sb 3.04
Ca 0.9403 0.6224 0.1787  5 Br 2.92-3.18, 1 Sb 3.04
Ca 0.3776 0.7414 0.8213  5 Br 2.92-3.18, 1 Sb 3.04
Ca 0.6224 0.2586 0.1787  5 Br 2.92-3.18, 1 Sb 3.04
Ca 0.7414 0.0597 0.8213  5 Br 2.92-3.18, 1 Sb 3.04
Sb 0.0000 0.0000 0.0000  6 Ca 3.04
Br 0.2413 0.5445 0.3208  3 Ca 2.92-2.93
Br 0.5445 0.8934 0.3208  3 Ca 2.92-2.93
Br 0.8934 0.2413 0.3208  3 Ca 2.92-2.93
Br 0.3334 0.3334 0.9999  6 Ca 3.18
Br 0.1066 0.7587 0.6792  3 Ca 2.92-2.93
Br 0.6666 0.6666 0.0001  6 Ca 3.18
Br 0.4555 0.1066 0.6792  3 Ca 2.92-2.93
Br 0.7587 0.4555 0.6792  3 Ca 2.92-2.93

***

13.
Compound: CaSbBr2
Source: Alexandria
Functional: GGA-PBE
Structure: optimized geometry

ΔE_f (raw) in eV per atom: -0.806
Energy relative to the lowest polymorph listed for this composition in eV per atom: 0.2353
Theoretical density in g/cm3: 4.67
Symmetry: P4mm
Volume in Å³ per cell: 114

abc: 3.9370 3.9362 7.3733
angles: 90.00 90.00 90.00
Last column: nearest neighbours and their distance in Å.
Fractional positions:
Br 0.5000 0.5000 0.3096  4 Ca 2.93, 1 Sb 3.20
Br 0.0000 0.0000 0.0108  1 Ca 3.13, 4 Sb 3.41
Sb 0.5000 0.5000 0.7441  5 Br 3.20-3.41
Ca 0.0000 0.0000 0.4355  5 Br 2.93-3.13

***

14.
Compound: CaSbBr2
Source: Alexandria
Functional: GGA-PBE
Structure: optimized geometry

ΔE_f (raw) in eV per atom: -0.454
Energy relative to the lowest polymorph listed for this composition in eV per atom: 0.5865
Theoretical density in g/cm3: 4.44
Symmetry: F-43m
Volume in Å³ per cell: 120

abc: 5.5414 5.5414 5.5414
angles: 60.00 60.00 60.00
Last column: nearest neighbours and their distance in Å.
Fractional positions:
Br 0.2500 0.2500 0.2500  4 Br 3.39, 4 Ca 3.39
Br 0.0000 0.0000 0.0000  4 Sb 3.39, 4 Br 3.39
Sb 0.7500 0.7500 0.7500  4 Br 3.39, 4 Ca 3.39
Ca 0.5000 0.5000 0.5000  4 Br 3.39, 4 Sb 3.39

***

15.
Compound: CaSbBr2
Source: Alexandria
Functional: GGA-PBE
Structure: optimized geometry

ΔE_f (raw) in eV per atom: -0.362
Energy relative to the lowest polymorph listed for this composition in eV per atom: 0.6792
Theoretical density in g/cm3: 4.15
Symmetry: R-3m
Volume in Å³ per cell: 129

abc: 10.7026 10.7026 10.7026
angles: 20.27 20.27 20.27
Last column: nearest neighbours and their distance in Å.
Fractional positions:
Br 0.0876 0.0876 0.0876  1 Ca 2.75
Br 0.9124 0.9124 0.9124  1 Ca 2.75
Ca 0.0000 0.0000 0.0000  2 Br 2.75
Sb 0.5000 0.5000 0.5000  6 Br 3.30

***

16.
Compound: Ca2SbBr
Source: Alexandria
Functional: GGA-PBE
Structure: optimized geometry

ΔE_f (raw) in eV per atom: -1.246
Theoretical density in g/cm3: 3.62
Symmetry: P2/m
Volume in Å³ per cell: 129

abc: 3.9616 4.1336 7.8929
angles: 90.05 90.00 90.00
Last column: nearest neighbours and their distance in Å.
Fractional positions:
Ca 0.0000 0.7491 0.4552  2 Br 3.06, 1 Ca 3.24, 4 Sb 3.29
Ca 0.0000 0.7509 0.0448  2 Br 3.06, 1 Ca 3.24, 4 Sb 3.29
Br 0.5000 0.7500 0.7500  4 Ca 3.06
Sb 0.5000 0.2500 0.2500  8 Ca 3.29

***

17.
Compound: CaSb2Br8
Source: Alexandria
Functional: GGA-PBE
Structure: optimized geometry

ΔE_f (raw) in eV per atom: -0.915
Theoretical density in g/cm3: 3.75
Symmetry: C2/m
Volume in Å³ per cell: 408

abc: 3.8892 10.4741 10.2140
angles: 90.06 100.98 90.00
Last column: nearest neighbours and their distance in Å.
Fractional positions:
Br 0.6448 0.9534 0.2896  1 Ca 2.94, 2 Sb 3.01
Br 0.6001 0.5656 0.2003  2 Sb 2.84
Br 0.3552 0.0466 0.7104  1 Ca 2.94, 2 Sb 3.01
Br 0.7601 0.7008 0.5201  2 Sb 2.91
Br 0.3999 0.4344 0.7997  2 Sb 2.84
Br 0.2399 0.2992 0.4799  2 Sb 2.91
Br 0.9998 0.1995 0.9997  2 Ca 2.85, 1 Sb 3.16
Br 0.0002 0.8005 0.0003  2 Ca 2.85, 1 Sb 3.16
Sb 0.8461 0.2649 0.6923  7 Br 2.84-3.16
Sb 0.1539 0.7351 0.3077  7 Br 2.84-3.16
Ca 0.5000 0.0000 0.0000  6 Br 2.85-2.94

***

18.
Compound: CaSb3Br
Source: Alexandria
Functional: GGA-PBE
Structure: optimized geometry

ΔE_f (raw) in eV per atom: 0.549
Energy relative to the lowest polymorph listed for this composition in eV per atom: 0.2067
Theoretical density in g/cm3: 4.16
Symmetry: Pm-3m
Volume in Å³ per cell: 193

abc: 5.7839 5.7839 5.7839
angles: 90.00 90.00 90.00
Last column: nearest neighbours and their distance in Å.
Fractional positions:
Sb 0.0000 0.5000 0.0000  2 Ca 2.89
Sb 0.0000 0.0000 0.5000  2 Ca 2.89
Sb 0.5000 0.0000 0.0000  2 Ca 2.89
Br 0.5000 0.5000 0.5000  12 Sb 4.09
Ca 0.0000 0.0000 0.0000  6 Sb 2.89

***

19.
Compound: Ca2SbBr
Source: Alexandria
Functional: GGA-PBE
Structure: optimized geometry

ΔE_f (raw) in eV per atom: -1.126
Theoretical density in g/cm3: 2.80
Symmetry: I-42d
Volume in Å³ per cell: 334

abc: 6.6679 6.6679 8.8707
angles: 67.92 67.92 90.00
Last column: nearest neighbours and their distance in Å.
Fractional positions:
Ca 0.3750 0.3689 0.7500  2 Sb 2.99, 2 Br 3.04
Ca 0.1189 0.6250 0.2500  2 Sb 2.99, 2 Br 3.04
Ca 0.6311 0.1250 0.2500  2 Sb 2.99, 2 Br 3.04
Ca 0.8750 0.8811 0.7500  2 Sb 2.99, 2 Br 3.04
Br 0.5000 0.5000 0.0000  4 Ca 3.04
Br 0.2500 0.7500 0.5000  4 Ca 3.04
Sb 0.0000 0.0000 0.0000  4 Ca 2.99
Sb 0.7500 0.2500 0.5000  4 Ca 2.99

***

20.
Compound: CaSbBr2
Source: Alexandria
Functional: GGA-PBE
Structure: optimized geometry

ΔE_f (raw) in eV per atom: -1.004
Energy relative to the lowest polymorph listed for this composition in eV per atom: 0.0372
Theoretical density in g/cm3: 4.22
Symmetry: Cm
Volume in Å³ per cell: 127

abc: 7.6749 7.6749 6.3570
angles: 48.08 48.08 27.78
Last column: nearest neighbours and their distance in Å.
Fractional positions:
Ca 0.5072 0.5072 0.3462  4 Br 2.93-2.96
Br 0.8060 0.8060 0.7751  2 Ca 2.93
Br 0.0067 0.0067 0.9831  1 Sb 2.71, 2 Ca 2.96
Sb 0.1801 0.1801 0.3956  1 Br 2.71